# 1
VASP calculation (GGA-PBE) on a geometry-optimized SrMgGaAu6 structure.

Output
Crystal system: orthorhombic
Energy of formation in meV per atom: -337
Total magnetization in μB/cell: 0.0

Cell lengths 7.414, 9.664, 10.890 Å; angles 90.00, 90.00, 90.00 degrees
Space group Imma (No. 74)
Unique sites:
Sr  0.000  0.250  0.224 (multiplicity 4)
Mg  0.250  0.250  0.750 (multiplicity 4)
Ga  0.000  0.000  0.000 (multiplicity 4)
Au  0.000  0.250  0.545 (multiplicity 4)
Au  0.000  0.250  0.930 (multiplicity 4)
Au  0.197  0.005  0.372 (multiplicity 16)

=====

# 2
VASP calculation (GGA-PBE) on a geometry-optimized Zr4AgSe8 structure.

Output
Crystal system: trigonal
Uncorrected formation energy in eV/atom: -1.18
Total magnetization in μB/cell: 0.0

Cell lengths 7.5736, 7.5736, 20.9996 Å; angles 90.00, 90.00, 120.00 degrees
Space group R-3m (No. 166, hexagonal axes)
Unique sites:
Zr  0.0000  0.0000  0.0000 (multiplicity 3)
Zr  0.0000  0.5000  0.0000 (multiplicity 9)
Ag  0.0000  0.0000  0.5000 (multiplicity 3)
Se  0.0000  0.0000  0.2568 (multiplicity 6)
Se  0.0015  0.5008  0.7441 (multiplicity 18)

=====

# 3
VASP calculation (GGA-PBE) on a geometry-optimized Er2Zn16Rh structure.

Output
Crystal system: trigonal
Energy of formation in meV per atom: -260
Total magnetization in μB/cell: 0.0

Cell lengths 8.9376, 8.9376, 13.0975 Å; angles 90.00, 90.00, 120.00 degrees
Space group R3m (No. 160, hexagonal axes)
Unique sites:
Er  0.0000  0.0000  0.0000 (multiplicity 3)
Er  0.0000  0.0000  0.3345 (multiplicity 3)
Zn  0.0000  0.0000  0.7642 (multiplicity 3)
Zn  0.9996  0.2906  0.6592 (multiplicity 18)
Zn  0.0036  0.5018  0.8106 (multiplicity 9)
Zn  0.0051  0.5025  0.1602 (multiplicity 9)
Zn  0.1735  0.3470  0.8445 (multiplicity 9)
Rh  0.0000  0.0000  0.5616 (multiplicity 3)

=====

# 4
VASP calculation (GGA-PBE) on a geometry-optimized PmCu5Ag structure.

Output
Crystal system: orthorhombic
Energy of formation in meV per atom: -162
Total magnetization in μB/cell: 0.0

Cell lengths 8.263, 5.087, 10.411 Å; angles 90.00, 90.00, 90.00 degrees
Space group Pnma (No. 62)
Unique sites:
Pm  0.243  0.250  0.064 (multiplicity 4)
Cu  0.055  0.750  0.107 (multiplicity 4)
Cu  0.067  0.002  0.313 (multiplicity 8)
Cu  0.088  0.250  0.517 (multiplicity 4)
Cu  0.185  0.250  0.746 (multiplicity 4)
Ag  0.139  0.750  0.862 (multiplicity 4)